First-principles (PBE) data for a relaxed structure of Sm2Ga3Pt4Au, as listed in Alexandria.

Energy of formation   -887 meV per atom
ρ   12694 kg/m3
Crystal system   tetragonal
Uncorrected energy   -54.8 eV/cell
Space group   P-4m2

a = 4.0681 Å, b = 4.0681 Å, c = 11.7550 Å
α = 90.00°, β = 90.00°, γ = 90.00°
Closest atoms and distances in Å follow each position.
Sites, in units of the cell vectors:
Sm 0.0000 0.5000 0.7468  4 Pt 3.04, 4 Ga 3.23
Sm 0.5000 0.0000 0.2532  4 Pt 3.04, 4 Ga 3.23
Pt 0.5000 0.0000 0.6619  1 Ga 2.47
Pt 0.5000 0.5000 0.0000  4 Ga 2.53
Pt 0.0000 0.5000 0.3381  1 Ga 2.47
Pt 0.0000 0.0000 0.0000  4 Ga 2.53
Ga 0.0000 0.0000 0.5000  4 Pt 2.79, 4 Au 2.88
Ga 0.0000 0.5000 0.1283  5 Pt 2.47-2.53
Ga 0.5000 0.0000 0.8717  5 Pt 2.47-2.53
Au 0.5000 0.5000 0.5000  4 Pt 2.79, 4 Ga 2.88


First-principles (PBE) data for a relaxed structure of NaGa3P, as listed in Alexandria.

Energy of formation   934 meV per atom
ρ   3308 kg/m3
Crystal system   cubic
Uncorrected energy   -11.1 eV/cell
Space group   Pm-3m

a = 5.0929 Å, b = 5.0929 Å, c = 5.0929 Å
α = 90.00°, β = 90.00°, γ = 90.00°
Closest atoms and distances in Å follow each position.
Sites, in units of the cell vectors:
Na 0.0000 0.0000 0.0000  6 Ga 2.55
Ga 0.5000 0.0000 0.0000  2 Na 2.55
Ga 0.0000 0.0000 0.5000  2 Na 2.55
Ga 0.0000 0.5000 0.0000  2 Na 2.55
P 0.5000 0.5000 0.5000  12 Ga 3.60


First-principles (PBE) data for a relaxed structure of Ce6Ge2Pt, as listed in Alexandria.

Energy of formation   -617 meV per atom
ρ   8683 kg/m3
Crystal system   hexagonal
Uncorrected energy   -56.4 eV/cell
Space group   P-62m

a = 3.8968 Å, b = 8.1811 Å, c = 8.1810 Å
α = 120.00°, β = 90.00°, γ = 90.00°
Closest atoms and distances in Å follow each position.
Sites, in units of the cell vectors:
Ge 0.0000 0.6667 0.3333  9 Ce 3.04-3.12
Ge 0.0000 0.3333 0.6667  9 Ce 3.04-3.12
Ce 0.0000 0.2654 0.0000  2 Pt 2.92, 2 Ge 3.04, 2 Ce 3.20
Ce 0.0000 0.0000 0.2654  2 Pt 2.92, 2 Ge 3.04, 2 Ce 3.20
Ce 0.0000 0.7346 0.7346  2 Pt 2.92, 2 Ge 3.04, 2 Ce 3.20
Ce 0.5000 0.5754 0.0000  4 Ge 3.12, 2 Ce 3.20, 1 Pt 3.47
Ce 0.5000 0.4246 0.4246  4 Ge 3.12, 2 Ce 3.20, 1 Pt 3.47
Ce 0.5000 0.0000 0.5754  4 Ge 3.12, 2 Ce 3.20, 1 Pt 3.47
Pt 0.5000 0.0000 0.0000  6 Ce 2.92


Please write out number 2 again, unchanged.
First-principles (PBE) data for a relaxed structure of NaGa3P, as listed in Alexandria.

Energy of formation   934 meV per atom
ρ   3308 kg/m3
Crystal system   cubic
Uncorrected energy   -11.1 eV/cell
Space group   Pm-3m

a = 5.0929 Å, b = 5.0929 Å, c = 5.0929 Å
α = 90.00°, β = 90.00°, γ = 90.00°
Closest atoms and distances in Å follow each position.
Sites, in units of the cell vectors:
Na 0.0000 0.0000 0.0000  6 Ga 2.55
Ga 0.5000 0.0000 0.0000  2 Na 2.55
Ga 0.0000 0.0000 0.5000  2 Na 2.55
Ga 0.0000 0.5000 0.0000  2 Na 2.55
P 0.5000 0.5000 0.5000  12 Ga 3.60


Please write out number 1 again, unchanged.
First-principles (PBE) data for a relaxed structure of Sm2Ga3Pt4Au, as listed in Alexandria.

Energy of formation   -887 meV per atom
ρ   12694 kg/m3
Crystal system   tetragonal
Uncorrected energy   -54.8 eV/cell
Space group   P-4m2

a = 4.0681 Å, b = 4.0681 Å, c = 11.7550 Å
α = 90.00°, β = 90.00°, γ = 90.00°
Closest atoms and distances in Å follow each position.
Sites, in units of the cell vectors:
Sm 0.0000 0.5000 0.7468  4 Pt 3.04, 4 Ga 3.23
Sm 0.5000 0.0000 0.2532  4 Pt 3.04, 4 Ga 3.23
Pt 0.5000 0.0000 0.6619  1 Ga 2.47
Pt 0.5000 0.5000 0.0000  4 Ga 2.53
Pt 0.0000 0.5000 0.3381  1 Ga 2.47
Pt 0.0000 0.0000 0.0000  4 Ga 2.53
Ga 0.0000 0.0000 0.5000  4 Pt 2.79, 4 Au 2.88
Ga 0.0000 0.5000 0.1283  5 Pt 2.47-2.53
Ga 0.5000 0.0000 0.8717  5 Pt 2.47-2.53
Au 0.5000 0.5000 0.5000  4 Pt 2.79, 4 Ga 2.88


The lowest energy of formation belongs to which entry?
Sm2Ga3Pt4Au